Material: Cs3HgSe4
Method: DFT, GGA-PBE
State: relaxed

Structure (POSCAR):
```
Cs3HgSe4
1.0
5.699 0.000 0.000
0.000 6.104 0.131
-2.850 -2.463 9.410
Cs Hg Se
3 1 4
direct
0.302 0.780 0.605 Cs
0.698 0.220 0.395 Cs
0.500 0.500 0.000 Cs
0.000 0.000 0.000 Hg
0.883 0.133 0.765 Se
0.117 0.867 0.235 Se
0.884 0.564 0.769 Se
0.116 0.436 0.231 Se
```

Results
**Final energy**: -22.61 eV/cell
**Space-group type**: C2/m, No. 12
**Uncorrected formation energy**: -5.8 eV per formula unit